Entry 1:
## SmTh2Sc (GGA-PBE)

Data for a relaxed SmTh2Sc crystal.

Computed properties:
DFT formation energy: 145 meV/atom
Magnetization: 0.00 Bohr magnetons per cell
DOS at the Fermi energy: 5.713 states/eV/f.u.
Volume: 30.5 Å³/atom
Energy above the lowest structure with this stoichiometry: 98 meV/atom
DFT total energy: -6.33 eV/atom

Lattice parameters (Å, degrees): 5.5697 5.5697 5.5697 60.00 60.00 60.00
Sites, in units of the cell vectors:
Sc1 0.5000 0.5000 0.5000
Th1 0.2500 0.2500 0.2500
Th2 0.7500 0.7500 0.7500
Sm1 0.0000 0.0000 0.0000


Entry 2:
## AlCuCl2 (GGA-PBE)

Data for a relaxed AlCuCl2 crystal.

Computed properties:
Magnetization: 0.00 Bohr magnetons per cell
DOS at the Fermi energy: 1.915 states/eV/f.u.
Volume: 19.8 Å³/atom
Energy above the lowest structure with this stoichiometry: 386 meV/atom
DFT total energy: -3.14 eV/atom

Lattice parameters (Å, degrees): 3.1355 3.1355 8.0488 90.00 90.00 90.00
Sites, in units of the cell vectors:
Cl1 0.5000 0.5000 0.3479
Cl2 0.0000 0.0000 0.9180
Cu1 0.0000 0.0000 0.5151
Al1 0.5000 0.5000 0.7190


Entry 3:
## Cd3Ag3Au (GGA-PBE)

Data for a relaxed Cd3Ag3Au crystal.

Computed properties:
DFT formation energy: -17 meV/atom
Magnetization: 0.00 Bohr magnetons per cell
DOS at the Fermi energy: 1.968 states/eV/f.u.
Volume: 20.7 Å³/atom
Energy above the lowest structure with this stoichiometry: 0 meV/atom
DFT total energy: -2.10 eV/atom

Lattice parameters (Å, degrees): 5.8214 5.8214 8.6941 90.00 90.00 80.00
Sites, in units of the cell vectors:
Au1 0.2197 0.2197 0.0001
Au2 0.7803 0.7803 0.9999
Cd1 0.0000 0.0000 0.7497
Cd2 0.5000 0.0002 0.7510
Cd3 0.0002 0.5000 0.7510
Cd4 0.9998 0.5000 0.2490
Cd5 0.0000 0.0000 0.2503
Cd6 0.5000 0.9998 0.2490
Ag1 0.3025 0.6975 0.0000
Ag2 0.2219 0.2219 0.4999
Ag3 0.7781 0.7781 0.5001
Ag4 0.7015 0.2985 0.5000
Ag5 0.6975 0.3025 0.0000
Ag6 0.2985 0.7015 0.5000


Entry 4:
## ZnTePd (GGA-PBE)

Data for a relaxed ZnTePd crystal.

Computed properties:
Magnetization: 0.00 Bohr magnetons per cell
DOS at the Fermi energy: 1.405 states/eV/f.u.
Volume: 20.7 Å³/atom
DFT total energy: -3.34 eV/atom

Lattice parameters (Å, degrees): 4.4571 3.1668 12.4049 90.00 90.00 134.73
Sites, in units of the cell vectors:
Pd1 0.4478 0.8957 0.0000
Pd2 0.4389 0.8778 0.5000
Te1 0.9417 0.8834 0.3391
Te2 0.9417 0.8834 0.6609
Zn1 0.9482 0.8965 0.1151
Zn2 0.9482 0.8965 0.8849


Which of these has the highest DOS at the Fermi energy?
SmTh2Sc